Material: PaGaS6
Method: DFT, PBE-GGA
State: relaxed

Cell lengths 3.6773, 7.5993, 8.6841 Å; angles 65.91, 86.60, 80.02 degrees
Space group P-1 (No. 2)
One atom of each set of equivalent atoms:
Pa (0.0000, 0.0000, 0.0000) (multiplicity 1)
Ga (0.5000, 0.5000, 0.5000) (multiplicity 1)
S (0.0076, 0.7147, 0.3578) (multiplicity 2)
S (0.3830, 0.2950, 0.9487) (multiplicity 2)
S (0.4573, 0.0937, 0.1975) (multiplicity 2)

Properties
energy relative to the elements, uncorrected	-72.6	kJ per mole of atoms
V	218.2	Å³ per cell
density	3.753	Mg/m³